Entry 1:
Material: HgC3Se
Method: DFT, GGA-PBE
State: relaxed

a = 4.342 Å, b = 4.342 Å, c = 4.342 Å
α = 90.00°, β = 90.00°, γ = 90.00°
Sites, in units of the cell vectors:
Hg 0.000 0.000 0.000
C 0.000 0.000 0.500
C 0.000 0.500 0.000
C 0.500 0.000 0.000
Se 0.500 0.500 0.500

For the calculated total energy, the calculation gives -13.9 eV/f.u. The calculation puts the energy above the most stable polymorph in this dataset at 572 meV per atom. The value obtained for the raw formation energy is 3.509 eV/atom. The crystal system is cubic.

=====

Entry 2:
Material: V6Cr2W
Method: DFT, GGA-PBE
State: relaxed

a = 6.890 Å, b = 6.890 Å, c = 6.890 Å
α = 110.58°, β = 109.45°, γ = 108.39°
Sites, in units of the cell vectors:
V 0.049 0.812 0.238
V 0.241 0.539 0.297
V 0.241 0.944 0.703
V 0.293 0.307 0.600
V 0.293 0.693 0.987
V 0.426 0.188 0.238
V 0.574 0.812 0.762
V 0.707 0.307 0.013
V 0.707 0.693 0.400
V 0.759 0.056 0.297
V 0.759 0.461 0.703
V 0.951 0.188 0.762
Cr 0.000 0.142 0.142
Cr 0.000 0.858 0.858
Cr 0.340 0.340 0.000
Cr 0.660 0.660 0.000
W 0.000 0.500 0.500
W 0.500 0.000 0.500

For the energy of formation, the calculation gives 24 kJ/mol of atoms. For the calculated total energy, the calculation gives -84.6 eV/f.u. The calculation puts the energy above the most stable polymorph in this dataset at 289 meV per atom. The crystal system is orthorhombic.

=====

Entry 3:
Material: Pm2Re2Si2C
Method: DFT, GGA-PBE
State: relaxed

a = 5.902 Å, b = 5.902 Å, c = 7.126 Å
α = 125.07°, β = 125.07°, γ = 40.13°
Sites, in units of the cell vectors:
Pm 0.073 0.073 0.302
Pm 0.927 0.927 0.698
Re 0.295 0.295 0.912
Re 0.705 0.705 0.088
Si 0.355 0.355 0.309
Si 0.645 0.645 0.691
C 0.500 0.500 0.000

For the calculated total energy, the calculation gives -58.6 eV/f.u. The value obtained for the raw formation energy is -0.585 eV/atom. The crystal system is monoclinic.

=====

Entry 4:
Material: Cs2SrBiF
Method: DFT, GGA-PBE
State: relaxed

a = 5.630 Å, b = 5.630 Å, c = 6.014 Å
α = 90.00°, β = 90.00°, γ = 90.00°
Sites, in units of the cell vectors:
Cs 0.000 0.500 0.000
Cs 0.500 0.000 0.000
Sr 0.000 0.000 0.500
Bi 0.500 0.500 0.500
F 0.000 0.000 0.000

For the calculated total energy, the calculation gives -15.6 eV/f.u. The value obtained for the raw formation energy is -1.290 eV/atom. The crystal system is tetragonal.